LaNdBr6 after structural relaxation. Source: the Open Quantum Materials Database, functional PBE-GGA.

The value obtained for the calculated volume is 501 Å³/cell. The value obtained for the raw total energy is -4.3942 eV/atom.

The structure belongs to space group Amm2 (No. 38); the cell edges are 9.238, 4.179 and 12.976 Å and the angles 90.00°, 90.00° and 90.00°. Symmetry generates all atoms from La at (0.000, 0.000, 0.000), Nd at (0.500, 0.000, 0.514), Br at (0.000, 0.000, 0.339), Br at (0.187, 0.000, 0.611), Br at (0.318, 0.000, 0.903) and Br at (0.500, 0.000, 0.171).